No. 1
Material: ScAuSe2
Method: DFT, PBE
State: relaxed

Unit cell a=3.618 b=3.967 c=5.967 alpha=90.00 beta=90.00 gamma=90.00
Element x y z (fractional)
Sc1 0.000 0.000 0.000
Au1 0.000 0.500 0.500
Se1 0.500 0.000 0.500
Se2 0.500 0.500 0.000

Computed properties:
symmetry: Pmmm (47)
E_form (uncorrected): -677 meV per atom
electronic total energy: -4.821 eV/atom

***

No. 2
Material: YHo3TmTh
Method: DFT, PBE
State: relaxed

Unit cell a=7.899 b=5.021 c=10.021 alpha=90.00 beta=108.53 gamma=90.00
Element x y z (fractional)
Y1 0.167 0.250 0.292
Y2 0.833 0.750 0.708
Ho1 0.169 0.750 0.543
Ho2 0.174 0.250 0.792
Ho3 0.174 0.750 0.044
Ho4 0.826 0.250 0.956
Ho5 0.826 0.750 0.208
Ho6 0.831 0.250 0.457
Tm1 0.500 0.250 0.627
Tm2 0.500 0.750 0.373
Th1 0.499 0.750 0.877
Th2 0.501 0.250 0.123

Computed properties:
symmetry: P2_1/m (11)
energy of formation: 0.03 eV/atom
electronic total energy: -5.321 eV/atom

***

No. 3
Material: Mg2CuHCl
Method: DFT, PBE
State: relaxed

Unit cell a=5.453 b=5.453 c=4.313 alpha=90.00 beta=90.00 gamma=90.00
Element x y z (fractional)
Mg1 0.000 0.500 0.000
Mg2 0.500 0.000 0.000
Cu1 0.000 0.000 0.500
H1 0.500 0.500 0.500
Cl1 0.000 0.000 0.000

Computed properties:
symmetry: P4/mmm (123)
electronic total energy: -1.763 eV/atom

***

No. 4
Material: Bi3POs
Method: DFT, PBE
State: relaxed

Unit cell a=5.262 b=5.262 c=5.262 alpha=90.00 beta=90.00 gamma=90.00
Element x y z (fractional)
Bi1 0.000 0.000 0.500
Bi2 0.000 0.500 0.000
Bi3 0.500 0.000 0.000
P1 0.000 0.000 0.000
Os1 0.500 0.500 0.500

Computed properties:
symmetry: Pm-3m (221)
distance to the lowest polymorph of the same formula: 520 meV/atom
energy of formation: 1.49 eV/atom
electronic total energy: -4.168 eV/atom

***

No. 5
Material: Tb4ErS6
Method: DFT, PBE
State: relaxed

Unit cell a=6.739 b=6.739 c=19.879 alpha=90.00 beta=90.00 gamma=147.03
Element x y z (fractional)
Tb1 0.091 0.909 0.628
Tb2 0.091 0.909 0.872
Tb3 0.361 0.639 0.540
Tb4 0.361 0.639 0.960
Tb5 0.639 0.361 0.040
Tb6 0.639 0.361 0.460
Tb7 0.909 0.091 0.128
Tb8 0.909 0.091 0.372
Er1 0.152 0.848 0.250
Er2 0.848 0.152 0.750
S1 0.000 0.000 0.000
S2 0.000 0.000 0.500
S3 0.197 0.803 0.750
S4 0.270 0.730 0.089
S5 0.270 0.730 0.411
S6 0.447 0.553 0.668
S7 0.447 0.553 0.832
S8 0.553 0.447 0.168
S9 0.553 0.447 0.332
S10 0.730 0.270 0.589
S11 0.730 0.270 0.911
S12 0.803 0.197 0.250

Computed properties:
symmetry: Cmcm (63)
E_form (uncorrected): -2034 meV per atom
electronic total energy: -6.384 eV/atom

***

No. 6
Material: Ca2AcAl2Ga2
Method: DFT, PBE
State: relaxed

Unit cell a=12.538 b=12.538 c=12.538 alpha=20.11 beta=20.11 gamma=20.11
Element x y z (fractional)
Ca1 0.121 0.121 0.121
Ca2 0.879 0.879 0.879
Ac1 0.000 0.000 0.000
Al1 0.396 0.396 0.396
Al2 0.604 0.604 0.604
Ga1 0.268 0.268 0.268
Ga2 0.732 0.732 0.732

Computed properties:
symmetry: R-3m (166)
energy of formation: -0.38 eV/atom
electronic total energy: -3.477 eV/atom

***

No. 7
Material: SrFe2Hg
Method: DFT, PBE
State: relaxed

Unit cell a=3.283 b=3.340 c=7.469 alpha=90.00 beta=90.06 gamma=90.00
Element x y z (fractional)
Sr1 0.000 0.000 0.000
Fe1 0.499 0.500 0.308
Fe2 0.999 0.000 0.427
Hg1 0.500 0.500 0.674

Computed properties:
symmetry: Pm (6)
energy of formation: 0.28 eV/atom
electronic total energy: -4.442 eV/atom

***

No. 8
Material: CsCdIn2Cl8
Method: DFT, PBE
State: relaxed

Unit cell a=10.651 b=10.651 c=10.651 alpha=37.64 beta=37.64 gamma=37.64
Element x y z (fractional)
Cs1 0.000 0.000 0.000
Cd1 0.500 0.500 0.500
In1 0.244 0.244 0.244
In2 0.756 0.756 0.756
Cl1 0.128 0.777 0.435
Cl2 0.223 0.565 0.872
Cl3 0.326 0.326 0.326
Cl4 0.435 0.128 0.777
Cl5 0.565 0.872 0.223
Cl6 0.674 0.674 0.674
Cl7 0.777 0.435 0.128
Cl8 0.872 0.223 0.565

Computed properties:
symmetry: R-3 (148)
E_form (uncorrected): -1143 meV per atom
electronic total energy: -2.978 eV/atom

***

No. 9
Material: AcInGaAu2
Method: DFT, PBE
State: relaxed

Unit cell a=6.877 b=6.877 c=6.877 alpha=142.19 beta=142.19 gamma=54.54
Element x y z (fractional)
Ac1 0.000 0.000 0.000
In1 0.250 0.750 0.500
Ga1 0.750 0.250 0.500
Au1 0.386 0.386 0.000
Au2 0.614 0.614 0.000

Computed properties:
symmetry: I-4m2 (119)
energy of formation: -0.62 eV/atom
electronic total energy: -3.901 eV/atom

***

No. 10
Material: CsAgPt
Method: DFT, PBE
State: relaxed

Unit cell a=8.508 b=4.996 c=7.895 alpha=90.00 beta=90.00 gamma=90.00
Element x y z (fractional)
Cs1 0.005 0.250 0.172
Cs2 0.495 0.750 0.672
Cs3 0.505 0.250 0.328
Cs4 0.995 0.750 0.828
Ag1 0.164 0.250 0.591
Ag2 0.336 0.750 0.091
Ag3 0.664 0.250 0.909
Ag4 0.836 0.750 0.409
Pt1 0.169 0.750 0.408
Pt2 0.331 0.250 0.908
Pt3 0.669 0.750 0.092
Pt4 0.831 0.250 0.592

Computed properties:
symmetry: Pnma (62)
distance to the lowest polymorph of the same formula: 268 meV/atom
energy of formation: 0.23 eV/atom
electronic total energy: -3.015 eV/atom

***

No. 11
Material: Na2CePuBr8
Method: DFT, PBE
State: relaxed

Unit cell a=6.844 b=8.870 c=7.120 alpha=90.00 beta=93.93 gamma=90.00
Element x y z (fractional)
Na1 0.000 0.248 0.000
Na2 0.000 0.752 0.000
Ce1 0.500 0.500 0.500
Pu1 0.500 0.000 0.500
Br1 0.233 0.000 0.176
Br2 0.233 0.500 0.174
Br3 0.281 0.251 0.657
Br4 0.281 0.749 0.657
Br5 0.719 0.251 0.343
Br6 0.719 0.749 0.343
Br7 0.767 0.000 0.824
Br8 0.767 0.500 0.826

Computed properties:
symmetry: P2/m (10)
E_form (uncorrected): -1621 meV per atom
electronic total energy: -4.645 eV/atom

***

No. 12
Material: Cu2Pb
Method: DFT, PBE
State: relaxed

Unit cell a=5.652 b=4.494 c=8.298 alpha=90.00 beta=90.00 gamma=90.00
Element x y z (fractional)
Cu1 0.125 0.250 0.007
Cu2 0.215 0.750 0.188
Cu3 0.285 0.250 0.688
Cu4 0.375 0.750 0.507
Cu5 0.625 0.250 0.493
Cu6 0.715 0.750 0.312
Cu7 0.785 0.250 0.812
Cu8 0.875 0.750 0.993
Pb1 0.115 0.250 0.366
Pb2 0.385 0.750 0.866
Pb3 0.615 0.250 0.134
Pb4 0.885 0.750 0.634

Computed properties:
symmetry: Pnma (62)
energy of formation: 0.22 eV/atom
electronic total energy: -3.751 eV/atom